1.
The following is a DFT calculation (PBE) of crystalline Pu3Re4N12 at its relaxed geometry.

a b c (Å): 6.720 6.720 6.720
angles (deg): 109.47 109.47 109.47
Each line ends with the local moment (μB).
Positions (direct):
Pu  0.500  0.000  0.500  4.33
Pu  0.500  0.500  0.000  4.33
Pu  0.000  0.500  0.500  4.33
Re  0.000  0.000  0.500  0.22
Re  0.500  0.500  0.500  0.22
Re  0.500  0.000  0.000  0.22
Re  0.000  0.500  0.000  0.22
N  0.705  0.492  0.787  -0.09
N  0.295  0.508  0.213  -0.09
N  0.295  0.083  0.787  -0.09
N  0.492  0.787  0.705  -0.09
N  0.787  0.295  0.083  -0.09
N  0.213  0.295  0.508  -0.09
N  0.083  0.787  0.295  -0.09
N  0.213  0.705  0.917  -0.09
N  0.705  0.917  0.213  -0.09
N  0.508  0.213  0.295  -0.09
N  0.787  0.705  0.492  -0.09
N  0.917  0.213  0.705  -0.09

Computed properties:
symmetry = Im-3, No. 204
formation energy from raw total energies = -0.3504 eV/atom
total DFT energy (no corrections) = -199.35 eV/cell


2.
The following is a DFT calculation (PBE) of crystalline Pu2ReN4 at its relaxed geometry.

a b c (Å): 5.936 5.688 6.647
angles (deg): 90.00 108.40 90.00
Each line ends with the local moment (μB).
Positions (direct):
Pu  0.694  0.750  0.049  5.09
Pu  0.306  0.250  0.951  5.09
Pu  0.219  0.250  0.431  5.16
Pu  0.781  0.750  0.569  5.16
Re  0.241  0.750  0.193  0.43
Re  0.759  0.250  0.807  0.43
N  0.459  0.501  0.244  -0.06
N  0.046  0.750  0.915  -0.07
N  0.954  0.250  0.085  -0.07
N  0.459  0.999  0.244  -0.06
N  0.953  0.250  0.633  -0.08
N  0.541  0.001  0.756  -0.06
N  0.541  0.499  0.756  -0.06
N  0.047  0.750  0.367  -0.08

Computed properties:
symmetry = P2_1/m, No. 11
formation energy from raw total energies = -0.6704 eV/atom
offset from the most stable computed form = 0.129 eV per atom
total DFT energy (no corrections) = -158.21 eV/cell


3.
The following is a DFT calculation (PBE) of crystalline PuReN3 at its relaxed geometry.

a b c (Å): 3.382 6.809 5.948
angles (deg): 72.86 90.79 89.72
Each line ends with the local moment (μB).
Positions (direct):
Pu  0.998  0.123  0.638  4.54
Pu  0.487  0.782  0.145  4.54
Re  0.661  0.615  0.714  0.13
Re  0.824  0.289  0.069  0.13
N  0.507  0.321  0.768  -0.06
N  0.978  0.584  0.014  -0.06
N  0.420  0.245  0.276  -0.04
N  0.495  0.890  0.730  -0.17
N  0.990  0.014  0.052  -0.17
N  0.065  0.659  0.506  -0.04

Computed properties:
symmetry = P-1, No. 2
formation energy from raw total energies = -0.4180 eV/atom
total DFT energy (no corrections) = -107.69 eV/cell


4.
The following is a DFT calculation (PBE) of crystalline PuRe2N6 at its relaxed geometry.

a b c (Å): 3.743 5.345 6.985
angles (deg): 69.54 74.46 69.51
Each line ends with the local moment (μB).
Positions (direct):
Pu  0.000  0.500  0.500  4.17
Re  0.193  0.762  0.853  0.17
Re  0.807  0.238  0.147  0.17
N  0.708  0.660  0.924  -0.05
N  0.292  0.340  0.076  -0.05
N  0.962  0.866  0.209  -0.08
N  0.354  0.691  0.602  -0.11
N  0.038  0.134  0.791  -0.08
N  0.646  0.309  0.398  -0.11

Computed properties:
symmetry = C2/m, No. 12
formation energy from raw total energies = -0.0797 eV/atom
total DFT energy (no corrections) = -89.90 eV/cell


5.
The following is a DFT calculation (PBE) of crystalline Pu2Re3N8 at its relaxed geometry.

a b c (Å): 5.069 6.174 6.502
angles (deg): 118.34 109.58 90.00
Each line ends with the local moment (μB).
Positions (direct):
Pu  0.332  0.258  0.517  4.22
Pu  0.668  0.742  0.483  4.22
Re  0.500  0.000  0.000  0.24
Re  0.000  0.291  0.000  0.03
Re  0.000  0.709  0.000  0.03
N  0.926  0.614  0.228  -0.04
N  0.074  0.386  0.772  -0.04
N  0.916  0.101  0.203  -0.08
N  0.084  0.899  0.797  -0.08
N  0.588  0.663  0.776  -0.10
N  0.588  0.112  0.776  -0.10
N  0.412  0.888  0.224  -0.10
N  0.412  0.337  0.224  -0.10

Computed properties:
symmetry = C2/m, No. 12
formation energy from raw total energies = -0.3071 eV/atom
total DFT energy (no corrections) = -136.60 eV/cell


6.
The following is a DFT calculation (PBE) of crystalline PuReN4 at its relaxed geometry.

a b c (Å): 4.901 5.790 5.760
angles (deg): 112.11 90.00 90.00
Each line ends with the local moment (μB).
Positions (direct):
Pu  0.000  0.500  0.500  3.38
Pu  0.500  0.000  0.500  3.38
Re  0.500  0.500  0.000  0.39
Re  0.000  0.000  0.000  0.39
N  0.291  0.814  0.127  -0.17
N  0.209  0.314  0.127  -0.17
N  0.678  0.624  0.327  -0.18
N  0.178  0.876  0.673  -0.18
N  0.822  0.124  0.327  -0.18
N  0.322  0.376  0.673  -0.18
N  0.791  0.686  0.873  -0.17
N  0.709  0.186  0.873  -0.17

Computed properties:
symmetry = P2_1/c, No. 14
formation energy from raw total energies = -0.1376 eV/atom
total DFT energy (no corrections) = -121.81 eV/cell


7.
The following is a DFT calculation (PBE) of crystalline Sm2PuReN4 at its relaxed geometry.

a b c (Å): 3.452 6.177 11.965
angles (deg): 90.00 90.00 106.22
Each line ends with the local moment (μB).
Positions (direct):
Sm  0.368  0.736  0.539  0.01
Sm  0.632  0.264  0.039  0.01
Sm  0.632  0.264  0.461  0.01
Sm  0.368  0.736  0.961  0.01
Pu  0.121  0.241  0.750  5.08
Pu  0.879  0.759  0.250  5.08
Re  0.855  0.710  0.750  0.01
Re  0.145  0.290  0.250  0.01
N  0.269  0.539  0.136  -0.07
N  0.731  0.461  0.636  -0.07
N  0.731  0.461  0.864  -0.07
N  0.269  0.539  0.364  -0.07
N  0.000  0.000  0.500  -0.03
N  0.000  0.000  0.000  -0.03
N  0.438  0.876  0.750  -0.03
N  0.562  0.124  0.250  -0.03

Computed properties:
symmetry = Cmcm, No. 63
formation energy from raw total energies = -0.8334 eV/atom
total DFT energy (no corrections) = -152.37 eV/cell


8.
The following is a DFT calculation (PBE) of crystalline Sm2PuReN6 at its relaxed geometry.

a b c (Å): 5.678 5.777 8.038
angles (deg): 90.00 90.66 90.00
Each line ends with the local moment (μB).
Positions (direct):
Sm  0.012  0.952  0.249  0.02
Sm  0.512  0.548  0.749  0.02
Sm  0.988  0.048  0.751  0.02
Sm  0.488  0.452  0.251  0.02
Pu  0.500  0.000  0.000  2.73
Pu  0.000  0.500  0.500  2.73
Re  0.500  0.000  0.500  0.67
Re  0.000  0.500  0.000  0.67
N  0.278  0.702  0.049  -0.07
N  0.778  0.798  0.549  -0.07
N  0.722  0.298  0.951  -0.07
N  0.222  0.202  0.451  -0.07
N  0.295  0.712  0.451  -0.09
N  0.795  0.788  0.951  -0.09
N  0.705  0.288  0.549  -0.09
N  0.205  0.212  0.049  -0.09
N  0.908  0.521  0.242  -0.08
N  0.408  0.979  0.742  -0.08
N  0.092  0.479  0.758  -0.08
N  0.592  0.021  0.258  -0.08

Computed properties:
symmetry = P2_1/c, No. 14
formation energy from raw total energies = -0.8411 eV/atom
total DFT energy (no corrections) = -189.16 eV/cell


9.
The following is a DFT calculation (PBE) of crystalline Sr2PuRe2N6 at its relaxed geometry.

a b c (Å): 6.097 6.097 6.998
angles (deg): 64.17 64.17 60.00
Each line ends with the local moment (μB).
Positions (direct):
Sr  0.790  0.790  0.629  0.01
Sr  0.210  0.210  0.371  0.01
Pu  0.000  0.000  0.000  4.02
Re  0.433  0.433  0.702  0.08
Re  0.567  0.567  0.298  0.08
N  0.758  0.758  0.238  -0.06
N  0.246  0.758  0.238  -0.06
N  0.758  0.246  0.238  -0.06
N  0.242  0.754  0.762  -0.06
N  0.754  0.242  0.762  -0.06
N  0.242  0.242  0.762  -0.06

Computed properties:
symmetry = R-3m, No. 166
formation energy from raw total energies = -0.6004 eV/atom
total DFT energy (no corrections) = -99.15 eV/cell


10.
The following is a DFT calculation (PBE) of crystalline Sr2PuReN5 at its relaxed geometry.

a b c (Å): 3.446 7.528 11.183
angles (deg): 90.00 90.00 103.23
Each line ends with the local moment (μB).
Positions (direct):
Sr  0.860  0.719  0.781  0.01
Sr  0.118  0.237  0.711  0.00
Sr  0.140  0.281  0.281  0.01
Sr  0.882  0.763  0.211  0.00
Pu  0.787  0.574  0.506  3.75
Pu  0.213  0.426  0.006  3.75
Re  0.501  0.001  0.968  0.10
Re  0.499  0.999  0.468  0.10
N  0.381  0.763  0.012  -0.03
N  0.704  0.409  0.886  -0.20
N  0.498  0.996  0.807  0.01
N  0.283  0.567  0.628  -0.20
N  0.954  0.908  0.526  -0.01
N  0.619  0.237  0.512  -0.03
N  0.296  0.591  0.386  -0.20
N  0.502  0.004  0.307  0.01
N  0.717  0.433  0.128  -0.20
N  0.046  0.092  0.026  -0.01

Computed properties:
symmetry = Cmc2_1, No. 36
formation energy from raw total energies = -0.7365 eV/atom
total DFT energy (no corrections) = -156.80 eV/cell


Question: Which formula does entry 7 have?
Answer: Sm2PuReN4